Run i
First-principles (PBE) data for a relaxed structure of NiGe3Ru, as listed in the Alexandria database.

Cell: 4.519 4.519 4.519 Å, 90.00 90.00 90.00°
Space group Pm-3m (No. 221)
Inequivalent atoms, fractional coordinates:
Ni: 0.000 0.000 0.000 [1 per cell]
Ge: 0.000 0.000 0.500 [3 per cell]
Ru: 0.500 0.500 0.500 [1 per cell]

- Total moment: 0.025 μB per atom
- Density of states at the Fermi level: 3.00 states/eV/f.u.

Run ii
First-principles (PBE) data for a relaxed structure of NiGe3Ru, as listed in the Alexandria database.

Cell: 4.823 4.823 4.823 Å, 90.00 90.00 90.00°
Space group Pm-3m (No. 221)
Inequivalent atoms, fractional coordinates:
Ni: 0.000 0.000 0.000 [1 per cell]
Ge: 0.000 0.500 0.500 [3 per cell]
Ru: 0.500 0.500 0.500 [1 per cell]

- Total moment: 0.000 μB per atom
- Density of states at the Fermi level: 1.11 states/eV/f.u.

Best to worst by energy: run ii, run i.